# 1
Ba2YCdC, optimized geometry, DFT PBE; DOS at the Fermi energy = 1.05 states/eV/atom; formation energy from the elements = 0.6554 eV/atom; uncorrected energy = -3.43 eV/atom; SG = P4/mmm, No. 123; spin magnetization = 0.658 μB per cell; V = 32.41 Å³/atom
1.0
-2.711 2.587 4.805
-3.151 -3.016 -0.154
3.230 -3.564 3.741
Ba Y Cd C
2 1 1 1
direct
0.500 0.000 0.000
0.000 0.000 0.500
0.500 0.500 0.500
0.000 0.500 0.000
0.000 0.000 0.000

=====

# 2
GdTiGa2, optimized geometry, DFT PBE; DOS at the Fermi energy = 0.65 states/eV/atom; formation energy from the elements = -0.4381 eV/atom; uncorrected energy = -7.45 eV/atom; distance to the lowest polymorph of the same formula = 0.0 kJ per mole of atoms; SG = P4/mmm, No. 123; spin magnetization = 7.754 μB per cell; V = 19.59 Å³/atom
1.0
-0.282 -3.362 -0.790
1.579 0.579 -3.030
5.784 -1.142 2.796
Ga Gd Ti
2 1 1
direct
0.000 0.000 0.204
0.000 0.000 0.796
0.500 0.500 0.500
0.500 0.500 0.000

=====

# 3
Ca3BiPt, optimized geometry, DFT PBE; DOS at the Fermi energy = 0.88 states/eV/atom; formation energy from the elements = 0.0579 eV/atom; uncorrected energy = -3.13 eV/atom; distance to the lowest polymorph of the same formula = 71.7 kJ per mole of atoms; SG = Pm-3m, No. 221; spin magnetization = 0.000 μB per cell; V = 39.66 Å³/atom
1.0
5.831 0.000 0.000
0.000 5.831 0.000
0.000 0.000 5.831
Ca Pt Bi
3 1 1
direct
0.500 0.000 0.000
0.000 0.000 0.500
0.000 0.500 0.000
0.500 0.500 0.500
0.000 0.000 0.000

=====

# 4
CePu2Tl, optimized geometry, DFT PBE; DOS at the Fermi energy = 2.53 states/eV/atom; formation energy from the elements = -0.0400 eV/atom; uncorrected energy = -9.28 eV/atom; distance to the lowest polymorph of the same formula = 0.0 kJ per mole of atoms; SG = P4/mmm, No. 123; spin magnetization = 13.059 μB per cell; V = 27.29 Å³/atom
1.0
-4.177 1.023 2.424
-1.523 -4.380 -0.776
1.990 -1.405 4.022
Ce Pu Tl
1 2 1
direct
0.500 0.500 0.500
0.000 0.500 0.000
0.000 0.000 0.500
0.500 0.000 0.000

=====

# 5
Ta2CSe, optimized geometry, DFT PBE; DOS at the Fermi energy = 0.54 states/eV/atom; uncorrected energy = -8.97 eV/atom; raw formation energy = 0.5 eV/f.u.; SG = I-42d, No. 122; spin magnetization = 0.000 μB per cell; V = 18.61 Å³/atom
1.0
-2.542 0.328 -4.527
-3.637 -3.252 1.807
-5.961 2.816 0.562
C Ta Se
2 4 2
direct
0.500 0.500 0.000
0.250 0.750 0.500
0.536 0.125 0.250
0.214 0.625 0.250
0.375 0.464 0.750
0.875 0.786 0.750
0.000 0.000 0.000
0.750 0.250 0.500

=====

# 6
PaTiI6, optimized geometry, DFT PBE; DOS at the Fermi energy = 0.93 states/eV/atom; uncorrected energy = -4.22 eV/atom; raw formation energy = -7.0 eV/f.u.; SG = C2/m, No. 12; spin magnetization = 0.988 μB per cell; V = 47.68 Å³/atom
1.0
7.919 -0.833 -0.855
-3.194 7.295 -0.855
0.769 1.052 6.642
Pa I Ti
1 6 1
direct
0.000 0.000 0.500
0.702 0.004 0.767
0.298 0.996 0.233
0.706 0.706 0.224
0.996 0.298 0.233
0.294 0.294 0.776
0.004 0.702 0.767
0.000 0.000 0.000

=====

# 7
AlCrIr2, optimized geometry, DFT PBE; DOS at the Fermi energy = 0.92 states/eV/atom; formation energy from the elements = -0.3114 eV/atom; uncorrected energy = -8.08 eV/atom; SG = P2/m, No. 10; spin magnetization = 2.637 μB per cell; V = 14.13 Å³/atom
1.0
-0.526 -2.411 1.303
-1.138 -2.010 -4.178
3.259 -2.551 -3.404
Al Ir Cr
1 2 1
direct
0.500 0.500 0.500
0.000 0.000 0.000
0.500 0.500 0.000
0.000 0.000 0.500

=====

# 8
Ac2LaTe2S2, optimized geometry, DFT PBE; DOS at the Fermi energy = 0.42 states/eV/atom; uncorrected energy = -5.55 eV/atom; raw formation energy = -11.2 eV/f.u.; SG = I4/mmm, No. 139; spin magnetization = 0.324 μB per cell; V = 34.33 Å³/atom
1.0
5.345 0.000 0.000
0.000 5.345 0.000
-2.673 -2.673 8.410
Ac Te S La
2 2 2 1
direct
0.382 0.382 0.764
0.618 0.618 0.236
0.814 0.814 0.627
0.186 0.186 0.373
0.000 0.500 0.000
0.500 0.000 0.000
0.000 0.000 0.000

=====

Q: Which of these has the lowest V?
A: AlCrIr2

=====

Q: The lowest uncorrected energy belongs to which entry?
A: CePu2Tl

=====

Q: The highest V belongs to which entry?
A: PaTiI6